1.
The following is a DFT calculation (PBE-GGA) of crystalline SnHgSeO at its relaxed geometry.

Values from the calculation:
- Mass density: 7.5 g/cm³
- E: -27.66 eV per cell
- Polymorph energy (0 for the lowest one): 357.2 meV per atom
- Volume: 183.18 Å³/cell

a = 4.011 Å, b = 4.011 Å, c = 13.149 Å
α = 90.00°, β = 90.00°, γ = 120.00°
Atoms (fractional coordinates):
1 Hg 0.333 0.667 0.257
2 Hg 0.667 0.333 0.757
3 O 0.000 0.000 0.333
4 O 0.000 0.000 0.833
5 Se 0.667 0.333 0.111
6 Se 0.333 0.667 0.611
7 Sn 0.000 0.000 0.488
8 Sn 0.000 0.000 0.988

---

2.
The following is a DFT calculation (PBE-GGA) of crystalline SnHgSeO at its relaxed geometry.

Values from the calculation:
- Mass density: 6.8 g/cm³
- E: -27.27 eV per cell
- Polymorph energy (0 for the lowest one): 406.8 meV per atom
- Volume: 202.48 Å³/cell

a = 5.140 Å, b = 5.140 Å, c = 7.665 Å
α = 90.00°, β = 90.00°, γ = 90.00°
Atoms (fractional coordinates):
1 Hg 0.750 0.750 0.177
2 Hg 0.250 0.250 0.823
3 O 0.250 0.250 0.113
4 O 0.750 0.750 0.887
5 Se 0.750 0.250 0.500
6 Se 0.250 0.750 0.500
7 Sn 0.250 0.250 0.362
8 Sn 0.750 0.750 0.638